Compound: HfZr2Bi
Source: Alexandria via LeMat-Bulk
Functional: PBE
Structure: relaxed

POSCAR file:
```
HfZr2Bi
1.0
7.3436 0.0000 -0.7146
0.0000 8.4763 0.0000
-0.5088 0.0000 6.1523
Hf Zr Bi
4 8 4
Direct
0.1696 0.5009 0.1891
0.3304 0.0009 0.8109
0.6696 0.9991 0.1891
0.8304 0.4991 0.8109
0.4606 0.6902 0.0405
0.9606 0.8098 0.0405
0.9857 0.2019 0.4313
0.0394 0.1902 0.9595
0.0143 0.7981 0.5687
0.5143 0.7019 0.5687
0.5394 0.3098 0.9595
0.4857 0.2981 0.4313
0.7145 0.0262 0.6933
0.2145 0.4738 0.6933
0.2855 0.9738 0.3067
0.7855 0.5262 0.3067
```

Properties
Density of states at the Fermi level ... 16.80 states/eV/cell
V ... 379.9 Å³ per cell
Energy relative to the elements ... -0.029 eV/atom
Final energy ... -7.76 eV per atom
ρ ... 10.0 g cm⁻³

Compound: Hf2Zr2Bi
Source: Alexandria via LeMat-Bulk
Functional: PBE
Structure: relaxed

POSCAR file:
```
Hf2Zr2Bi
1.0
6.7520 0.0000 -0.1109
3.3760 4.7245 -0.0554
2.7328 0.0000 7.4998
Hf Zr Bi
4 4 2
Direct
0.6240 0.3920 0.6720
0.3760 0.6080 0.3280
0.0161 0.6080 0.6720
0.9839 0.3920 0.3280
0.7516 0.0000 0.4114
0.6092 0.0000 0.1110
0.3908 0.0000 0.8890
0.2484 0.0000 0.5886
0.1873 0.6254 0.0000
0.8127 0.3746 0.0000
```

Properties
Density of states at the Fermi level ... 7.78 states/eV/cell
V ... 240.7 Å³ per cell
Energy relative to the elements ... 0.055 eV/atom
Final energy ... -8.12 eV per atom
ρ ... 10.3 g cm⁻³

Compound: HfZr2Bi4
Source: Alexandria via LeMat-Bulk
Functional: PBE
Structure: relaxed

POSCAR file:
```
HfZr2Bi4
1.0
7.4564 0.0000 -0.0353
0.0000 6.1490 0.0000
-2.8024 0.0000 8.4862
Hf Zr Bi
2 4 8
Direct
0.1809 0.7500 0.1848
0.8191 0.2500 0.8152
0.7386 0.7500 0.0346
0.2614 0.2500 0.9654
0.3105 0.2500 0.4263
0.6895 0.7500 0.5737
0.5462 0.4975 0.2498
0.0333 0.7500 0.8496
0.9667 0.2500 0.1504
0.5462 0.0025 0.2498
0.9861 0.2500 0.5764
0.4538 0.9975 0.7502
0.4538 0.5025 0.7502
0.0139 0.7500 0.4236
```

Properties
Density of states at the Fermi level ... 9.48 states/eV/cell
V ... 388.5 Å³ per cell
Energy relative to the elements ... -0.042 eV/atom
Final energy ... -6.12 eV per atom
ρ ... 10.2 g cm⁻³

Compound: HfZr5Bi6
Source: Alexandria via LeMat-Bulk
Functional: PBE
Structure: relaxed

POSCAR file:
```
HfZr5Bi6
1.0
7.2481 0.0481 0.0000
2.0804 7.1710 0.0000
1.0402 3.5855 6.2592
Hf Zr Bi
1 5 6
Direct
0.0000 0.0000 0.0000
0.5000 0.1975 0.6049
0.0000 0.3778 0.2444
0.5000 0.5000 0.0000
0.0000 0.6222 0.7556
0.5000 0.8025 0.3951
0.7761 0.0588 0.3421
0.2239 0.5990 0.3421
0.2958 0.2066 0.0000
0.7042 0.7934 0.0000
0.7761 0.4010 0.6579
0.2239 0.9412 0.6579
```

Properties
Density of states at the Fermi level ... 8.27 states/eV/cell
V ... 324.7 Å³ per cell
Energy relative to the elements ... -0.136 eV/atom
Final energy ... -6.47 eV per atom
ρ ... 9.7 g cm⁻³

Compound: HfZrBi4
Source: Alexandria via LeMat-Bulk
Functional: PBE
Structure: relaxed

POSCAR file:
```
HfZrBi4
1.0
3.3451 0.0000 0.0000
0.0000 9.1451 1.2215
0.0000 -1.9764 5.5991
Hf Zr Bi
1 1 4
Direct
0.0000 0.5000 0.5000
0.5000 0.5000 0.0000
0.0000 0.2214 0.7375
0.0000 0.7786 0.2625
0.5000 0.2219 0.2398
0.5000 0.7781 0.7602
```

Properties
Density of states at the Fermi level ... 1.97 states/eV/cell
V ... 179.4 Å³ per cell
Energy relative to the elements ... -0.121 eV/atom
Final energy ... -5.79 eV per atom
ρ ... 10.2 g cm⁻³

Compound: Hf5Zr3Bi2
Source: Alexandria via LeMat-Bulk
Functional: PBE
Structure: relaxed

POSCAR file:
```
Hf5Zr3Bi2
1.0
5.8855 0.0000 0.0000
2.9428 9.1248 -2.5551
2.9428 -0.0420 9.4757
Hf Zr Bi
10 6 4
Direct
0.2500 0.5000 0.5000
0.7500 0.5000 0.5000
0.4987 0.7513 0.7513
0.0013 0.2487 0.2487
0.5013 0.2487 0.2487
0.9987 0.7513 0.7513
0.1638 0.4834 0.1890
0.8362 0.5166 0.8110
0.6638 0.1890 0.4834
0.3362 0.8110 0.5166
0.2500 0.0000 0.0000
0.7500 0.0000 0.0000
0.4050 0.4150 0.7751
0.5950 0.5850 0.2249
0.9050 0.7751 0.4150
0.0950 0.2249 0.5850
0.1227 0.7168 0.0377
0.8773 0.2832 0.9623
0.6227 0.0377 0.7168
0.3773 0.9623 0.2832
```

Properties
Density of states at the Fermi level ... 19.82 states/eV/cell
V ... 508.3 Å³ per cell
Energy relative to the elements ... 0.253 eV/atom
Final energy ... -8.06 eV per atom
ρ ... 10.4 g cm⁻³

Compound: HfZr4Bi2
Source: Alexandria via LeMat-Bulk
Functional: PBE
Structure: relaxed

POSCAR file:
```
HfZr4Bi2
1.0
-1.4184 6.2754 -4.3688
-3.1862 -3.3598 -3.7916
-5.2447 -2.0190 6.1964
Hf Zr Bi
2 8 4
Direct
0.2412 0.7500 0.3323
0.7588 0.2500 0.6677
0.5643 0.4993 0.2296
0.1265 0.7500 0.9244
0.8735 0.2500 0.0756
0.5643 0.0007 0.2296
0.0173 0.2500 0.4995
0.4357 0.9993 0.7704
0.4357 0.5007 0.7704
0.9827 0.7500 0.5005
0.8062 0.7500 0.0789
0.1938 0.2500 0.9211
0.3216 0.2500 0.3870
0.6784 0.7500 0.6130
```

Properties
Density of states at the Fermi level ... 14.36 states/eV/cell
V ... 338.0 Å³ per cell
Energy relative to the elements ... -0.099 eV/atom
Final energy ... -7.51 eV per atom
ρ ... 9.4 g cm⁻³

Compound: HfZr2Bi
Source: Alexandria via LeMat-Bulk
Functional: PBE
Structure: relaxed

POSCAR file:
```
HfZr2Bi
1.0
-1.3726 1.0924 2.7887
-2.6452 -1.9076 0.4675
5.1391 -5.9421 4.8621
Hf Zr Bi
1 2 1
Direct
0.6851 0.6851 0.5000
0.1052 0.1052 0.7444
0.1055 0.1055 0.2556
0.6043 0.6043 0.0000
```

Properties
Density of states at the Fermi level ... 2.36 states/eV/cell
V ... 96.8 Å³ per cell
Energy relative to the elements ... -0.084 eV/atom
Final energy ... -7.82 eV per atom
ρ ... 9.8 g cm⁻³

Question: What is the V in the first record?
Answer: 379.9 Å³ per cell

What did the seventh record say?
Compound: HfZr4Bi2
Source: Alexandria via LeMat-Bulk
Functional: PBE
Structure: relaxed

POSCAR file:
```
HfZr4Bi2
1.0
-1.4184 6.2754 -4.3688
-3.1862 -3.3598 -3.7916
-5.2447 -2.0190 6.1964
Hf Zr Bi
2 8 4
Direct
0.2412 0.7500 0.3323
0.7588 0.2500 0.6677
0.5643 0.4993 0.2296
0.1265 0.7500 0.9244
0.8735 0.2500 0.0756
0.5643 0.0007 0.2296
0.0173 0.2500 0.4995
0.4357 0.9993 0.7704
0.4357 0.5007 0.7704
0.9827 0.7500 0.5005
0.8062 0.7500 0.0789
0.1938 0.2500 0.9211
0.3216 0.2500 0.3870
0.6784 0.7500 0.6130
```

Properties
Density of states at the Fermi level ... 14.36 states/eV/cell
V ... 338.0 Å³ per cell
Energy relative to the elements ... -0.099 eV/atom
Final energy ... -7.51 eV per atom
ρ ... 9.4 g cm⁻³